[1]
CeMo7N12 | Alexandria | PBE-GGA | relaxed; formation energy (no corrections) = -0.02 eV per atom
1.0
-0.971 -2.977 -5.887
-1.427 -4.274 4.915
-3.969 5.336 0.473
Ce Mo N
1 7 12
Direct
0.000 0.000 0.000
0.500 0.000 0.500
0.500 0.500 0.000
0.000 0.500 0.500
0.000 0.000 0.500
0.500 0.000 0.000
0.500 0.500 0.500
0.000 0.500 0.000
0.305 0.178 0.483
0.305 0.822 0.126
0.695 0.822 0.517
0.695 0.178 0.874
0.483 0.305 0.178
0.874 0.695 0.178
0.517 0.695 0.822
0.126 0.305 0.822
0.822 0.126 0.305
0.178 0.874 0.695
0.178 0.483 0.305
0.822 0.517 0.695

***

[2]
TlPW2 | Alexandria | PBE-GGA | relaxed; formation energy from the elements = 0.9440 eV/atom; distance to the lowest polymorph of the same formula = 0.668 eV/atom
1.0
1.801 -3.907 -1.693
-1.773 -1.895 -3.827
2.404 0.083 -3.948
Tl P W
1 1 2
Direct
0.250 0.250 0.250
0.500 0.500 0.500
0.000 0.000 0.000
0.750 0.750 0.750

***

[3]
CrGaAsBr2 | Alexandria | PBE-GGA | relaxed; formation energy (no corrections) = -0.06 eV per atom; distance to the lowest polymorph of the same formula = 0.000 eV/atom
1.0
5.280 0.000 0.000
0.000 5.280 0.000
0.000 0.000 4.781
Cr As Ga Br
1 1 1 2
Direct
0.000 0.000 0.000
0.000 0.000 0.500
0.500 0.500 0.500
0.000 0.500 0.000
0.500 0.000 0.000

***

[4]
K2MgBe | Alexandria | PBE-GGA | relaxed; formation energy from the elements = 0.7473 eV/atom; distance to the lowest polymorph of the same formula = 0.258 eV/atom
1.0
0.000 4.223 4.223
4.223 0.000 4.223
4.223 4.223 0.000
Be K Mg
1 2 1
Direct
0.000 0.000 0.000
0.250 0.250 0.250
0.750 0.750 0.750
0.500 0.500 0.500

***

[5]
La8HgRu2 | Alexandria | PBE-GGA | relaxed; formation energy from the elements = -0.1876 eV/atom; distance to the lowest polymorph of the same formula = 0.028 eV/atom
1.0
-1.803 0.118 5.524
-4.249 -6.681 -2.432
8.077 -1.099 1.472
La Hg Ru
8 1 2
Direct
0.556 0.339 0.087
0.556 0.087 0.339
0.198 0.402 0.402
0.000 0.246 0.758
0.000 0.758 0.246
0.803 0.605 0.605
0.443 0.918 0.667
0.443 0.667 0.918
0.999 0.004 0.004
0.501 0.720 0.288
0.501 0.288 0.720

***

[6]
ZnNi4Ir | Alexandria | PBE-GGA | relaxed; formation energy from the elements = 0.0793 eV/atom; distance to the lowest polymorph of the same formula = 0.109 eV/atom
1.0
2.617 -3.886 0.223
-1.811 -3.949 1.766
-0.934 -3.622 -2.829
Zn Ni Ir
1 4 1
Direct
0.250 0.250 0.250
0.625 0.625 0.125
0.625 0.125 0.625
0.625 0.625 0.625
0.125 0.625 0.625
0.000 0.000 0.000

***

[7]
HfZn2GaBi | Alexandria | PBE-GGA | relaxed; formation energy from the elements = 0.3129 eV/atom
1.0
4.632 0.000 0.000
0.000 5.347 0.000
0.000 0.000 4.632
Zn Hf Bi Ga
2 1 1 1
Direct
0.000 0.000 0.500
0.500 0.000 0.000
0.000 0.500 0.000
0.500 0.500 0.500
0.000 0.000 0.000

***

[8]
CaZnGe2Au | Alexandria | PBE-GGA | relaxed; formation energy from the elements = -0.4037 eV/atom
1.0
4.333 0.000 0.000
0.000 4.333 0.000
-2.166 -2.166 5.421
Ca Zn Ge Au
1 1 2 1
Direct
0.000 0.000 0.000
0.250 0.750 0.500
0.614 0.614 0.229
0.386 0.386 0.771
0.750 0.250 0.500